No. 1
PaSbAuO6 (PBE, optimized geometry); symmetry = No. 163
1.0
-4.638 -0.102 3.253
-0.233 -1.916 -5.327
2.286 -8.593 2.990
Pa Sb Au O
2 2 2 12
Cartesian
-1.130 -3.459 -1.720
-1.456 -7.151 2.635
-2.599 -2.855 1.140
0.012 -7.756 -0.225
0.000 0.000 0.000
1.143 -4.297 1.495
-2.866 -2.436 -0.821
-4.298 -1.929 1.732
-0.384 -7.366 -2.171
1.712 -8.682 -0.817
-0.969 -3.834 0.448
-3.841 -4.436 0.913
-1.170 -9.362 -0.569
-2.202 -3.244 3.086
1.254 -6.175 0.002
-1.416 -1.249 1.484
-1.618 -6.777 0.467
0.280 -8.174 1.737

No. 2
SmPaAu2O8 (PBE, optimized geometry); symmetry = No. 119
1.0
6.209 0.385 0.000
-2.409 5.736 0.000
-1.900 -3.060 5.072
Sm Pa Au O
1 1 2 8
Cartesian
-1.204 2.868 2.536
0.000 0.000 0.000
3.105 0.192 2.536
1.900 3.060 0.000
1.445 -0.646 1.568
0.339 2.170 0.857
-0.105 -1.794 4.215
3.089 -1.667 3.504
3.462 3.950 0.857
4.764 1.031 1.568
3.120 2.052 3.504
0.105 1.794 4.215

No. 3
PaSnAuO (PBE, optimized geometry); symmetry = No. 129
1.0
-1.649 -3.080 -2.174
3.287 -0.013 -2.475
4.096 -6.057 5.472
Pa Sn Au O
2 2 2 2
Cartesian
5.190 -5.251 3.501
-0.276 -2.352 -0.354
2.082 -5.838 2.797
2.832 -1.765 0.351
2.048 -3.028 2.736
2.867 -4.575 0.412
0.819 -1.546 -2.325
0.000 0.000 0.000

No. 4
SrPaAuO6 (PBE, optimized geometry); symmetry = No. 163
1.0
-1.087 3.717 4.034
-4.062 -1.604 -3.493
-2.596 -8.044 6.712
Sr Pa Au O
2 2 2 12
Cartesian
0.000 0.000 0.000
-1.298 -4.022 3.356
-3.719 -1.841 0.694
-4.026 -4.089 6.559
-2.728 -0.067 3.203
-5.018 -5.863 4.049
-3.625 0.236 1.382
-2.879 1.921 3.690
-6.043 -5.440 2.323
-4.867 -7.851 3.563
-2.767 -2.045 2.656
-4.540 -0.221 4.155
-6.890 -6.126 4.847
-1.703 -0.491 4.930
-3.206 -5.709 3.097
-0.855 0.196 2.405
-4.979 -3.885 4.597
-4.120 -6.167 5.870

Calculated formation energy (no corrections) in order - -1.655 -1.461 -1.393 -1.999 eV per atom